1.
Material: TbPm6Nd2Y
Method: DFT, PBE
State: optimized geometry

```
TbPm6Nd2Y
1.0
4.591 -7.700 0.000
4.591 7.700 0.000
-1.502 0.000 9.756
Tb Pm Nd Y
2 12 4 2
Direct
0.020 0.980 0.750
0.980 0.020 0.250
0.019 0.574 0.687
0.122 0.752 0.055
0.248 0.878 0.445
0.291 0.502 0.879
0.426 0.981 0.813
0.498 0.709 0.621
0.502 0.291 0.379
0.574 0.019 0.187
0.709 0.498 0.121
0.752 0.122 0.555
0.878 0.248 0.945
0.981 0.426 0.313
0.196 0.297 0.542
0.297 0.196 0.042
0.703 0.804 0.958
0.804 0.703 0.458
0.407 0.593 0.250
0.593 0.407 0.750
```

Results
Symmetry   C2/c
ΔE_f   0.111 eV/atom
Electronic total energy   -4.802 eV per atom

=====

2.
Material: CsNaTl2Te2
Method: DFT, PBE
State: optimized geometry

```
CsNaTl2Te2
1.0
5.299 0.000 0.000
0.000 10.867 0.000
0.000 0.000 8.519
Cs Na Tl Te
2 2 4 4
Direct
0.000 0.025 0.000
0.000 0.975 0.500
0.500 0.264 0.605
0.500 0.736 0.105
0.000 0.364 0.356
0.000 0.636 0.856
0.500 0.401 0.008
0.500 0.599 0.508
0.000 0.319 0.766
0.000 0.681 0.266
0.500 0.180 0.259
0.500 0.820 0.759
```

Results
Symmetry   Pmc2_1
Energy relative to the elements, uncorrected   -0.61 eV per atom
Electronic total energy   -2.812 eV per atom

=====

3.
Material: LiLa2Pt2
Method: DFT, PBE
State: optimized geometry

```
LiLa2Pt2
1.0
7.921 0.000 0.000
0.000 7.921 0.000
0.000 0.000 3.943
Li La Pt
2 4 4
Direct
0.000 0.000 0.000
0.500 0.500 0.000
0.164 0.336 0.500
0.336 0.836 0.500
0.664 0.164 0.500
0.836 0.664 0.500
0.137 0.637 0.000
0.363 0.137 0.000
0.637 0.863 0.000
0.863 0.363 0.000
```

Results
Symmetry   P4/mbm
ΔE_f   -0.946 eV/atom
Electronic total energy   -5.716 eV per atom

=====

4.
Material: Ag2AuS
Method: DFT, PBE
State: optimized geometry

```
Ag2AuS
1.0
4.230 0.000 0.000
0.000 4.230 0.000
0.000 0.000 3.983
Ag Au S
2 1 1
Direct
0.000 0.500 0.000
0.500 0.000 0.000
0.000 0.000 0.500
0.500 0.500 0.500
```

Results
Symmetry   P4/mmm
Energy relative to the elements, uncorrected   0.17 eV per atom
Electronic total energy   -3.111 eV per atom

=====

5.
Material: Ho3TaO7
Method: DFT, PBE
State: optimized geometry

```
Ho3TaO7
1.0
8.021 0.000 0.000
0.000 5.569 0.000
-3.489 0.000 6.707
Ho Ta O
6 2 14
Direct
0.000 0.005 0.000
0.000 0.995 0.500
0.210 0.474 0.782
0.210 0.526 0.282
0.455 0.037 0.580
0.455 0.963 0.080
0.669 0.476 0.399
0.669 0.524 0.899
0.118 0.120 0.812
0.118 0.880 0.312
0.205 0.286 0.514
0.205 0.714 0.014
0.402 0.257 0.259
0.402 0.743 0.759
0.501 0.258 0.889
0.501 0.742 0.389
0.654 0.364 0.650
0.654 0.636 0.150
0.739 0.166 0.330
0.739 0.834 0.830
0.916 0.389 0.053
0.916 0.611 0.553
```

Results
Symmetry   Pc
Energy relative to the elements, uncorrected   -3.34 eV per atom
Electronic total energy   -8.823 eV per atom

=====

6.
Material: SiB
Method: DFT, PBE
State: optimized geometry

```
SiB
1.0
2.187 -2.673 0.000
2.187 2.673 0.000
-1.120 0.000 4.000
Si B
2 2
Direct
0.000 0.000 0.000
0.563 0.437 0.500
0.046 0.590 0.301
0.410 0.954 0.699
```

Results
Symmetry   C2
Energy relative to the elements, uncorrected   0.24 eV per atom
Electronic total energy   -5.812 eV per atom

=====

7.
Material: Tb4GaBi
Method: DFT, PBE
State: optimized geometry

```
Tb4GaBi
1.0
8.062 -3.084 0.000
8.062 3.084 0.000
-1.787 0.000 7.327
Tb Ga Bi
8 2 2
Direct
0.032 0.811 0.556
0.189 0.968 0.944
0.220 0.451 0.870
0.451 0.220 0.370
0.549 0.780 0.630
0.780 0.549 0.130
0.811 0.032 0.056
0.968 0.189 0.444
0.000 0.500 0.500
0.500 0.000 0.000
0.375 0.625 0.250
0.625 0.375 0.750
```

Results
Symmetry   C2/c
ΔE_f   -0.297 eV/atom
Electronic total energy   -4.535 eV per atom

=====

8.
Material: Ba3Ac3MgTe8
Method: DFT, PBE
State: optimized geometry

```
Ba3Ac3MgTe8
1.0
4.756 2.746 8.106
-4.756 2.746 8.106
0.000 -5.491 8.106
Ba Ac Mg Te
3 3 1 8
Direct
0.000 0.500 0.500
0.500 0.000 0.500
0.500 0.500 0.000
0.000 0.000 0.500
0.000 0.500 0.000
0.500 0.000 0.000
0.500 0.500 0.500
0.246 0.246 0.246
0.260 0.729 0.729
0.271 0.271 0.740
0.271 0.740 0.271
0.729 0.260 0.729
0.729 0.729 0.260
0.740 0.271 0.271
0.754 0.754 0.754
```

Results
Symmetry   R-3m
Energy relative to the elements, uncorrected   -1.51 eV per atom
Electronic total energy   -4.498 eV per atom

=====

- Which formula does entry 8 have?
  Ba3Ac3MgTe8

=====

- Which value of electronic total energy does entry 6 give?
  -5.812 eV per atom